[1]
! Sr2Mg12TlHg3, optimized geometry, DFT PBE-GGA; values from VASP
! DOS(E_F)   0.6131 states/eV/atom
! Crystal system   trigonal
! Calculated density   4.1 g/cm³
! Calculated total energy   -1.40 eV per atom
&SYSTEM
  ibrav = 0, nat = 18, ntyp = 4
/
ATOMIC_SPECIES
Mg 24.30 Mg.upf
Sr 87.62 Sr.upf
Tl 204.38 Tl.upf
Hg 200.59 Hg.upf
CELL_PARAMETERS angstrom
11.149 2.155 1.529
7.380 8.630 1.529
7.380 4.296 7.640
ATOMIC_POSITIONS angstrom
Mg 6.170 5.916 1.733
Mg 6.170 3.591 5.011
Mg 17.718 12.638 8.964
Mg 13.611 7.923 7.434
Mg 12.299 7.159 3.263
Mg 10.810 8.005 5.678
Mg 12.299 5.446 5.678
Mg 19.740 9.165 8.964
Mg 15.100 7.077 5.019
Mg 13.611 9.636 5.019
Mg 19.740 11.490 5.686
Mg 8.192 2.443 1.733
Sr 16.678 9.708 6.886
Sr 9.231 5.373 3.811
Tl 0.000 0.000 0.000
Hg 3.690 2.148 3.820
Hg 5.575 1.078 0.764
Hg 3.690 4.315 0.764


[2]
! SrSmEr2, optimized geometry, DFT PBE-GGA; values from VASP
! DOS(E_F)   1.5324 states/eV/atom
! Crystal system   tetragonal
! Calculated density   6.6 g/cm³
! Energy relative to the lowest polymorph listed for this composition   0.0027 eV per atom
&SYSTEM
  ibrav = 0, nat = 4, ntyp = 3
/
ATOMIC_SPECIES
Er 167.26 Er.upf
Sr 87.62 Sr.upf
Sm 150.36 Sm.upf
CELL_PARAMETERS angstrom
-1.036 -2.164 -2.799
2.004 -2.762 1.394
-8.352 -3.236 5.593
ATOMIC_POSITIONS angstrom
Er -6.497 -2.517 4.351
Er -1.855 -0.719 1.242
Sr -3.692 -4.081 2.094
Sm 0.484 -2.463 -0.703